Entry from Alexandria: a relaxed Zr2Ge crystal (GGA-PBE).

* electronic total energy: -7.80 eV/atom
* space group: Cmc2_1
* mass density: 6.9 g/cm3
* crystal system: orthorhombic
* E_form: -0.56 eV/atom
* N(E_F): 0.613 states/eV/atom

a b c (Å): 3.849 7.932 8.321
angles (deg): 90.00 103.37 90.00
Fractional coordinates of all 12 atoms:
Ge 0.803 0.658 0.605
Ge 0.458 0.218 0.917
Ge 0.542 0.718 0.083
Ge 0.197 0.158 0.395
Zr 0.689 0.917 0.377
Zr 0.965 0.500 0.930
Zr 0.621 0.353 0.242
Zr 0.167 0.642 0.334
Zr 0.035 0.000 0.070
Zr 0.379 0.853 0.758
Zr 0.311 0.417 0.623
Zr 0.833 0.142 0.666